# 1
# Sn2PbAu2

A relaxed Sn2PbAu2 crystal (PBE-GGA, the Alexandria database).

Unit cell a=8.182 b=8.182 c=3.637 alpha=90.00 beta=90.00 gamma=90.00
Positions (direct):
Sn1 0.836 0.336 0.500
Sn2 0.164 0.664 0.500
Sn3 0.336 0.164 0.500
Sn4 0.664 0.836 0.500
Pb1 0.000 0.000 0.000
Pb2 0.500 0.500 0.000
Au1 0.368 0.868 0.000
Au2 0.632 0.132 0.000
Au3 0.132 0.368 0.000
Au4 0.868 0.632 0.000

Summary:
Total energy ... -3.732 eV per atom
Mass density ... 11.44 g cm⁻³

# 2
# MgRe2Te

A relaxed MgRe2Te crystal (PBE-GGA, the Alexandria database).

Unit cell a=4.811 b=3.617 c=4.882 alpha=99.37 beta=90.00 gamma=90.00
Positions (direct):
Re1 0.000 0.444 0.583
Re2 0.000 0.056 0.917
Mg1 0.500 0.750 0.750
Te1 0.500 0.250 0.250

Summary:
Total energy ... -6.826 eV per atom
Mass density ... 10.39 g cm⁻³
Raw formation energy ... 56.1 kJ/mol of atoms

# 3
# Mg4Si3

A relaxed Mg4Si3 crystal (PBE-GGA, the Alexandria database).

Unit cell a=6.827 b=6.823 c=7.429 alpha=64.36 beta=66.46 gamma=76.68
Positions (direct):
Si1 0.462 0.711 0.786
Si2 0.766 0.427 0.283
Si3 0.358 0.060 0.176
Si4 0.133 0.373 0.607
Si5 0.885 0.127 0.684
Si6 0.970 0.082 0.337
Mg1 0.822 0.680 0.458
Mg2 0.487 0.109 0.456
Mg3 0.646 0.804 0.003
Mg4 0.208 0.458 0.178
Mg5 0.741 0.354 0.963
Mg6 0.471 0.331 0.738
Mg7 0.145 0.976 0.955
Mg8 0.155 0.758 0.625

Summary:
Total energy ... -3.228 eV per atom
Mass density ... 2.11 g cm⁻³
Raw formation energy ... 0.7 kJ/mol of atoms

# 4
# Na2SrCaSc

A relaxed Na2SrCaSc crystal (PBE-GGA, the Alexandria database).

Unit cell a=6.060 b=6.296 c=6.060 alpha=90.00 beta=90.00 gamma=90.00
Positions (direct):
Sr1 0.000 0.500 0.000
Sc1 0.000 0.000 0.000
Na1 0.000 0.000 0.500
Na2 0.500 0.000 0.000
Ca1 0.500 0.500 0.500

Summary:
Total energy ... -1.821 eV per atom
Mass density ... 1.57 g cm⁻³

# 5
# SrSn2C

A relaxed SrSn2C crystal (PBE-GGA, the Alexandria database).

Unit cell a=7.675 b=7.675 c=6.347 alpha=52.80 beta=52.80 gamma=90.00
Positions (direct):
Sn1 0.375 0.475 0.750
Sn2 0.225 0.625 0.250
Sn3 0.525 0.125 0.250
Sn4 0.875 0.775 0.750
C1 0.250 0.750 0.500
C2 0.500 0.500 0.000
Sr1 0.000 0.000 0.000
Sr2 0.750 0.250 0.500

Summary:
Total energy ... -4.291 eV per atom
Mass density ... 5.77 g cm⁻³

# 6
# Ti2TlRe

A relaxed Ti2TlRe crystal (PBE-GGA, the Alexandria database).

Unit cell a=4.596 b=4.596 c=4.596 alpha=60.00 beta=60.00 gamma=60.00
Positions (direct):
Ti1 0.250 0.250 0.250
Ti2 0.750 0.750 0.750
Re1 0.000 0.000 0.000
Tl1 0.500 0.500 0.500

Summary:
Total energy ... -7.619 eV per atom
Mass density ... 11.76 g cm⁻³

# 7
# MoP

A relaxed MoP crystal (PBE-GGA, the Alexandria database).

Unit cell a=6.550 b=7.463 c=9.566 alpha=90.00 beta=90.00 gamma=90.00
Positions (direct):
P1 0.444 0.750 0.250
P2 0.194 0.500 0.500
P3 0.306 0.500 0.000
P4 0.306 0.000 0.500
P5 0.194 0.000 0.000
P6 0.444 0.250 0.750
P7 0.694 0.500 0.000
P8 0.056 0.750 0.250
P9 0.056 0.250 0.750
P10 0.944 0.750 0.750
P11 0.694 0.000 0.500
P12 0.806 0.000 0.000
P13 0.806 0.500 0.500
P14 0.944 0.250 0.250
P15 0.556 0.250 0.250
P16 0.556 0.750 0.750
Mo1 0.250 0.953 0.750
Mo2 0.750 0.453 0.750
Mo3 0.250 0.547 0.750
Mo4 0.500 0.797 0.000
Mo5 0.750 0.047 0.750
Mo6 0.250 0.047 0.250
Mo7 0.000 0.297 0.000
Mo8 0.750 0.953 0.250
Mo9 0.500 0.203 0.000
Mo10 0.500 0.297 0.500
Mo11 0.000 0.703 0.000
Mo12 0.000 0.203 0.500
Mo13 0.750 0.547 0.250
Mo14 0.250 0.453 0.250
Mo15 0.000 0.797 0.500
Mo16 0.500 0.703 0.500

Summary:
Total energy ... -8.310 eV per atom
Mass density ... 7.21 g cm⁻³

# 8
# Li5H5Rh

A relaxed Li5H5Rh crystal (PBE-GGA, the Alexandria database).

Unit cell a=3.967 b=4.827 c=5.718 alpha=104.65 beta=90.00 gamma=114.26
Positions (direct):
H1 0.148 0.295 0.286
H2 0.500 0.000 0.000
H3 0.857 0.714 0.162
H4 0.852 0.705 0.714
H5 0.143 0.286 0.838
Li1 0.329 0.657 0.153
Li2 0.000 0.000 0.500
Li3 0.671 0.343 0.847
Li4 0.663 0.325 0.313
Li5 0.337 0.675 0.687
Rh1 0.000 0.000 0.000

Summary:
Total energy ... -3.401 eV per atom
Mass density ... 2.47 g cm⁻³